Entry 1:
A relaxed BaNaSr4Ca crystal. Source: Alexandria via LeMat-Bulk, functional GGA-PBE.

Lattice parameters (Å, degrees): 7.8245 13.6727 13.9158 90.00 90.00 90.00
Space group Imma (No. 74)
Symmetry-distinct sites (fractional):
Ba 0.2500 0.2500 0.2500 x4
Na 0.0000 0.2500 0.7371 x4
Sr 0.0000 0.0018 0.8467 x8
Sr 0.2416 0.2500 0.9785 x8
Ca 0.0000 0.0000 0.5000 x4

Values from the calculation:
Its density of states at the Fermi level is 1.042 states/eV per atom. As for the total DFT energy (no corrections): -0.115 Ry/atom.


Entry 2:
A relaxed MnBeTe2 crystal. Source: Alexandria via LeMat-Bulk, functional GGA-PBE.

Lattice parameters (Å, degrees): 4.3893 4.3893 22.1570 90.00 90.00 120.00
Space group R-3m (No. 166, hexagonal axes)
Symmetry-distinct sites (fractional):
Mn 0.0000 0.0000 0.0000 x3
Be 0.0000 0.0000 0.5000 x3
Te 0.0000 0.0000 0.3991 x6

Values from the calculation:
Its density of states at the Fermi level is 0.000 states/eV per atom. The uncorrected formation energy is 0.129 eV per atom. As for the total DFT energy (no corrections): -0.343 Ry/atom.


Entry 3:
A relaxed AgMoP crystal. Source: Alexandria via LeMat-Bulk, functional GGA-PBE.

Lattice parameters (Å, degrees): 4.0760 4.0760 3.4981 90.00 90.00 120.00
Space group P-6m2 (No. 187)
Symmetry-distinct sites (fractional):
Ag 0.0000 0.0000 0.0000 x1
Mo 0.3333 0.6667 0.5000 x1
P 0.6667 0.3333 0.5000 x1

Values from the calculation:
Its density of states at the Fermi level is 1.329 states/eV per atom. The energy above the most stable polymorph in this dataset comes out at 0.127 eV per atom. As for the total DFT energy (no corrections): -0.450 Ry/atom.


Entry 4:
A relaxed AlZn6Ga2 crystal. Source: Alexandria via LeMat-Bulk, functional GGA-PBE.

Lattice parameters (Å, degrees): 9.1082 5.2509 6.4831 90.00 100.58 90.00
Space group C2/m (No. 12)
Symmetry-distinct sites (fractional):
Al 0.0000 0.0000 0.0000 x2
Zn 0.0818 0.2590 0.6961 x8
Zn 0.1894 0.0000 0.3999 x4
Ga 0.1578 0.5000 0.1091 x4

Values from the calculation:
Its density of states at the Fermi level is 0.315 states/eV per atom. The energy above the most stable polymorph in this dataset comes out at 0.055 eV per atom. As for the total DFT energy (no corrections): -0.137 Ry/atom.


Entry 5:
A relaxed Pr8Y5In crystal. Source: Alexandria via LeMat-Bulk, functional GGA-PBE.

Lattice parameters (Å, degrees): 14.6133 9.1375 9.2034 90.00 127.12 90.00
Space group C2 (No. 5)
Symmetry-distinct sites (fractional):
Pr 0.0705 0.0000 0.4191 x4
Pr 0.1741 0.3701 0.6495 x4
Pr 0.2341 0.5598 0.0473 x4
Pr 0.2370 0.2489 0.3430 x4
Y 0.0000 0.9268 0.0000 x2
Y 0.0527 0.2666 0.8803 x4
Y 0.0840 0.5924 0.2440 x4
In 0.0000 0.6667 0.5000 x2

Values from the calculation:
Its density of states at the Fermi level is 1.421 states/eV per atom. As for the total DFT energy (no corrections): -0.377 Ry/atom.


Entry 6:
A relaxed InBiPd4 crystal. Source: Alexandria via LeMat-Bulk, functional GGA-PBE.

Lattice parameters (Å, degrees): 7.6670 7.6670 7.6670 90.00 90.00 90.00
Space group F-43m (No. 216)
Symmetry-distinct sites (fractional):
In 0.0000 0.0000 0.0000 x4
Bi 0.2500 0.2500 0.2500 x4
Pd 0.1251 0.1251 0.6251 x16

Values from the calculation:
Its density of states at the Fermi level is 0.571 states/eV per atom. The energy above the most stable polymorph in this dataset comes out at 0.168 eV per atom. As for the total DFT energy (no corrections): -0.347 Ry/atom.


Entry 7:
A relaxed Ce2Sc4Si3O2 crystal. Source: Alexandria via LeMat-Bulk, functional GGA-PBE.

Lattice parameters (Å, degrees): 4.2821 4.2821 23.1594 90.00 90.00 90.00
Space group I4/mmm (No. 139)
Symmetry-distinct sites (fractional):
Ce 0.0000 0.0000 0.1964 x4
Sc 0.0000 0.5000 0.0774 x8
Si 0.0000 0.0000 0.3343 x4
Si 0.0000 0.0000 0.5000 x2
O 0.0000 0.0000 0.0879 x4

Values from the calculation:
Its density of states at the Fermi level is 1.092 states/eV per atom. The uncorrected formation energy is -1.541 eV per atom. As for the total DFT energy (no corrections): -0.537 Ry/atom.


Entry 8:
A relaxed AlTlAu4 crystal. Source: Alexandria via LeMat-Bulk, functional GGA-PBE.

Lattice parameters (Å, degrees): 3.7699 4.3170 8.6233 80.84 79.31 67.69
Space group P-1 (No. 2)
Symmetry-distinct sites (fractional):
Al 0.0000 0.0000 0.0000 x1
Tl 0.5000 0.5000 0.5000 x1
Au 0.0999 0.0666 0.6911 x2
Au 0.2807 0.3586 0.1264 x2

Values from the calculation:
Its density of states at the Fermi level is 0.278 states/eV per atom. The energy above the most stable polymorph in this dataset comes out at 0.007 eV per atom. As for the total DFT energy (no corrections): -0.243 Ry/atom.


Entry 9:
A relaxed OsRu2Au crystal. Source: Alexandria via LeMat-Bulk, functional GGA-PBE.

Lattice parameters (Å, degrees): 5.5315 7.7425 2.7751 90.00 90.00 90.00
Space group Cmmm (No. 65)
Symmetry-distinct sites (fractional):
Os 0.0000 0.0000 0.0000 x2
Ru 0.2500 0.2500 0.5000 x4
Au 0.0000 0.5000 0.0000 x2

Values from the calculation:
Its density of states at the Fermi level is 1.076 states/eV per atom. The energy above the most stable polymorph in this dataset comes out at 0.182 eV per atom. As for the total DFT energy (no corrections): -0.577 Ry/atom.


Entry 10:
A relaxed MgNbH crystal. Source: Alexandria via LeMat-Bulk, functional GGA-PBE.

Lattice parameters (Å, degrees): 2.8978 4.8044 5.7938 90.09 93.33 90.01
Space group P1 (No. 1)
Symmetry-distinct sites (fractional):
Mg 0.0000 0.0000 0.0000 x1
Mg 0.0271 0.0115 0.5183 x1
Nb 0.5028 0.5161 0.2543 x1
Nb 0.5223 0.4943 0.7643 x1
H 0.0153 0.5652 0.5086 x1
H 0.5089 0.9049 0.2636 x1

Values from the calculation:
Its density of states at the Fermi level is 0.182 states/eV per atom. The energy above the most stable polymorph in this dataset comes out at 0.153 eV per atom. As for the total DFT energy (no corrections): -0.364 Ry/atom.


Entry 11:
A relaxed PuBiH2 crystal. Source: Alexandria via LeMat-Bulk, functional GGA-PBE.

Lattice parameters (Å, degrees): 3.1237 3.1237 6.6836 90.00 90.00 90.00
Space group P4/mmm (No. 123)
Symmetry-distinct sites (fractional):
Pu 0.0000 0.0000 0.0000 x1
Bi 0.0000 0.0000 0.5000 x1
H 0.5000 0.5000 0.1416 x2

Values from the calculation:
Its density of states at the Fermi level is 1.872 states/eV per atom. The energy above the most stable polymorph in this dataset comes out at 0.243 eV per atom. As for the total DFT energy (no corrections): -0.460 Ry/atom.


Entry 12:
A relaxed La8Ru3Pb2 crystal. Source: Alexandria via LeMat-Bulk, functional GGA-PBE.

Lattice parameters (Å, degrees): 10.0138 15.7065 5.2441 90.00 90.00 90.00
Space group Cmmm (No. 65)
Symmetry-distinct sites (fractional):
La 0.0000 0.1060 0.0000 x4
La 0.0000 0.3888 0.0000 x4
La 0.2420 0.3940 0.5000 x8
Ru 0.0000 0.5000 0.5000 x2
Ru 0.2499 0.0000 0.0000 x4
Pb 0.0000 0.2429 0.5000 x4

Values from the calculation:
Its density of states at the Fermi level is 0.857 states/eV per atom. As for the total DFT energy (no corrections): -0.443 Ry/atom.